The following is a PBE calculation of a geometry-optimized PrDySi2Ni2 structure, from OQMD.

It has space group P4mm (No. 99), with a = 4.1045 Å, b = 4.1045 Å, c = 6.6699 Å, α = 90.00°, β = 90.00° and γ = 90.00°. The inequivalent atoms are Pr at (0.0000, 0.0000, 0.0000), Dy at (0.5000, 0.5000, 0.6305), Si at (0.0000, 0.0000, 0.5138), Si at (0.5000, 0.5000, 0.1480) and Ni at (0.0000, 0.5000, 0.3303).

Its total DFT energy (no corrections) is -5.965 eV/atom. As for the volume: 18.7 Å³/atom.